First-principles (GGA-PBE) data for La6SmTm5 after structural relaxation, as listed in the Alexandria database.

Properties
The total energy comes out at -4.696 eV/atom. The offset from the most stable computed form comes out at 0.000 kcal/mol of atoms. As for the density of states at the Fermi level: 1.42 states/eV/atom. The formation energy comes out at 0.3 eV/f.u.

Cell: 5.2347 9.6263 9.6263 Å, 109.12 105.76 105.76°
Atoms (fractional coordinates):
Sm1 0.0000 0.0000 0.0000
La1 0.2515 0.4183 0.0847
La2 0.7528 0.2528 0.2528
La3 0.2515 0.0847 0.4183
La4 0.7485 0.9153 0.5817
La5 0.7485 0.5817 0.9153
La6 0.2472 0.7472 0.7472
Tm1 0.5000 0.1669 0.8331
Tm2 0.0000 0.6676 0.3324
Tm3 0.0000 0.3324 0.6676
Tm4 0.5000 0.8331 0.1669
Tm5 0.5000 0.5000 0.5000



First-principles (GGA-PBE) data for LiInAgPd after structural relaxation, as listed in the Alexandria database.

Properties
The total energy comes out at -3.564 eV/atom. The offset from the most stable computed form comes out at 0.000 kcal/mol of atoms. As for the density of states at the Fermi level: 0.32 states/eV/atom. The formation energy comes out at -1.6 eV/f.u.

Cell: 4.5816 4.5816 4.5816 Å, 60.00 60.00 60.00°
Atoms (fractional coordinates):
Ag1 0.2500 0.2500 0.2500
Pd1 0.0000 0.0000 0.0000
In1 0.7500 0.7500 0.7500
Li1 0.5000 0.5000 0.5000



First-principles (GGA-PBE) data for Pa4Se5 after structural relaxation, as listed in the Alexandria database.

Properties
Its uncorrected formation energy is -9.78 eV per formula unit. The total energy comes out at -7.243 eV/atom. As for the density of states at the Fermi level: 1.67 states/eV/atom.

Cell: 3.6175 8.4003 8.4003 Å, 87.34 77.57 77.57°
Atoms (fractional coordinates):
Pa1 0.8753 0.9205 0.3290
Pa2 0.2042 0.6710 0.9205
Pa3 0.1247 0.0795 0.6710
Pa4 0.7958 0.3290 0.0795
Se1 0.0000 0.0000 0.0000
Se2 0.4328 0.3419 0.7924
Se3 0.5672 0.6580 0.2076
Se4 0.2252 0.2076 0.3419
Se5 0.7748 0.7924 0.6580



First-principles (GGA-PBE) data for Ca3CdTc after structural relaxation, as listed in the Alexandria database.

Properties
The total energy comes out at -3.010 eV/atom. The offset from the most stable computed form comes out at 0.000 kcal/mol of atoms. As for the density of states at the Fermi level: 1.27 states/eV/atom. The formation energy comes out at 2.2 eV/f.u.

Cell: 5.4353 5.4353 5.4353 Å, 90.00 90.00 90.00°
Atoms (fractional coordinates):
Ca1 0.0000 0.0000 0.5000
Ca2 0.0000 0.5000 0.0000
Ca3 0.5000 0.0000 0.0000
Tc1 0.0000 0.0000 0.0000
Cd1 0.5000 0.5000 0.5000



First-principles (GGA-PBE) data for KScTa2 after structural relaxation, as listed in the Alexandria database.

Properties
The total energy comes out at -6.766 eV/atom. The offset from the most stable computed form comes out at 10.589 kcal/mol of atoms. As for the density of states at the Fermi level: 1.31 states/eV/atom. The formation energy comes out at 4.1 eV/f.u.

Cell: 3.5579 3.5579 8.5266 Å, 90.00 90.00 90.00°
Atoms (fractional coordinates):
Ta1 0.0000 0.0000 0.9060
Ta2 0.0000 0.0000 0.5940
K1 0.5000 0.5000 0.2500
Sc1 0.5000 0.5000 0.7500



First-principles (GGA-PBE) data for CdHg2Sb after structural relaxation, as listed in the Alexandria database.

Properties
Its uncorrected formation energy is 0.42 eV per formula unit. The total energy comes out at -1.305 eV/atom. The offset from the most stable computed form comes out at 1.629 kcal/mol of atoms. As for the density of states at the Fermi level: 0.33 states/eV/atom.

Cell: 3.2682 5.7405 5.5292 Å, 90.00 90.00 90.00°
Atoms (fractional coordinates):
Sb1 0.5000 0.0000 0.5000
Cd1 0.0000 0.5000 0.5000
Hg1 0.5000 0.5000 0.0000
Hg2 0.0000 0.0000 0.0000



First-principles (GGA-PBE) data for Cs3SmI6 after structural relaxation, as listed in the Alexandria database.

Properties
Its uncorrected formation energy is -15.20 eV per formula unit. The total energy comes out at -3.178 eV/atom. As for the density of states at the Fermi level: 0.00 states/eV/atom.

Cell: 9.0650 9.6892 12.8816 Å, 90.00 88.21 90.00°
Atoms (fractional coordinates):
I1 0.3399 0.7664 0.4266
I2 0.1601 0.2664 0.0734
I3 0.6269 0.4487 0.2771
I4 0.8731 0.9487 0.2229
I5 0.7762 0.6737 0.5512
I6 0.3731 0.5513 0.7229
I7 0.2238 0.3263 0.4488
I8 0.7238 0.1737 0.9488
I9 0.8399 0.7336 0.9266
I10 0.2762 0.8263 0.0512
I11 0.6601 0.2336 0.5734
I12 0.1269 0.0513 0.7771
Cs1 0.0000 0.0000 0.5000
Cs2 0.5322 0.9219 0.7575
Cs3 0.0322 0.5781 0.2575
Cs4 0.9678 0.4219 0.7425
Cs5 0.5000 0.5000 0.0000
Cs6 0.4678 0.0781 0.2425
Sm1 0.0000 0.0000 0.0000
Sm2 0.5000 0.5000 0.5000



First-principles (GGA-PBE) data for Sr2SbRu after structural relaxation, as listed in the Alexandria database.

Properties
Its uncorrected formation energy is -0.62 eV per formula unit. The total energy comes out at -4.347 eV/atom. As for the density of states at the Fermi level: 0.79 states/eV/atom.

Cell: 6.3832 6.3832 6.3832 Å, 140.93 132.47 63.15°
Atoms (fractional coordinates):
Ru1 0.4322 0.4322 0.0000
Sr1 0.0231 0.0231 0.0000
Sr2 0.7448 0.2448 0.5000
Sb1 0.2998 0.7998 0.5000



First-principles (GGA-PBE) data for Rb2HfPtCl6 after structural relaxation, as listed in the Alexandria database.

Properties
Its uncorrected formation energy is -14.18 eV per formula unit. The total energy comes out at -4.319 eV/atom. As for the density of states at the Fermi level: 0.00 states/eV/atom.

Cell: 8.3066 8.3066 7.4279 Å, 56.00 56.00 90.00°
Atoms (fractional coordinates):
Cl1 0.2885 0.7115 0.0000
Cl2 0.7596 0.7596 0.4808
Cl3 0.7115 0.7115 0.0000
Cl4 0.7115 0.2885 0.0000
Cl5 0.2885 0.2885 0.0000
Cl6 0.2404 0.2404 0.5192
Pt1 0.0000 0.0000 0.0000
Hf1 0.5000 0.5000 0.0000
Rb1 0.2500 0.7500 0.5000
Rb2 0.7500 0.2500 0.5000



First-principles (GGA-PBE) data for K2Li12Te7 after structural relaxation, as listed in the Alexandria database.

Properties
Its uncorrected formation energy is -21.55 eV per formula unit. The total energy comes out at -3.271 eV/atom. As for the density of states at the Fermi level: 0.00 states/eV/atom.

Cell: 4.5132 11.3750 11.3750 Å, 120.00 90.00 90.00°
Atoms (fractional coordinates):
Li1 0.2514 0.6235 0.0534
Li2 0.7486 0.5702 0.6235
Li3 0.2514 0.4298 0.3765
Li4 0.2603 0.7457 0.8615
Li5 0.2603 0.1157 0.2543
Li6 0.7486 0.3765 0.9466
Li7 0.2514 0.9466 0.5702
Li8 0.7397 0.2543 0.1385
Li9 0.7397 0.8615 0.1157
Li10 0.7397 0.8843 0.7457
Li11 0.7486 0.0534 0.4298
Li12 0.2603 0.1385 0.8843
Te1 0.7573 0.1096 0.7037
Te2 0.7573 0.2963 0.4059
Te3 0.2427 0.4059 0.1096
Te4 0.2427 0.8904 0.2963
Te5 0.7573 0.5941 0.8904
Te6 0.5000 0.0000 0.0000
Te7 0.2427 0.7037 0.5941
K1 0.2554 0.3333 0.6667
K2 0.7446 0.6667 0.3333



First-principles (GGA-PBE) data for LaBeCo2 after structural relaxation, as listed in the Alexandria database.

Properties
The total energy comes out at -5.855 eV/atom. As for the density of states at the Fermi level: 1.20 states/eV/atom. The formation energy comes out at -0.6 eV/f.u.

Cell: 3.9821 3.9821 5.4125 Å, 68.55 68.55 59.99°
Atoms (fractional coordinates):
Co1 0.5680 0.5680 0.2963
Co2 0.9320 0.9320 0.2037
La1 0.7500 0.7500 0.7500
Be1 0.2500 0.2500 0.2500



First-principles (GGA-PBE) data for Pm2Pr5ErTh after structural relaxation, as listed in the Alexandria database.

Properties
The total energy comes out at -4.908 eV/atom. As for the density of states at the Fermi level: 1.40 states/eV/atom. The formation energy comes out at 1.2 eV/f.u.

Cell: 5.4893 11.3731 10.6313 Å, 90.00 90.00 103.96°
Atoms (fractional coordinates):
Pr1 0.5000 0.0000 0.2582
Pr2 0.3719 0.7438 0.0082
Pr3 0.9990 0.9981 0.0082
Pr4 0.7229 0.4457 0.8166
Pr5 0.7229 0.4458 0.1998
Pr6 0.5000 0.0000 0.7582
Pr7 0.2771 0.5542 0.6998
Pr8 0.0010 0.0019 0.5082
Pr9 0.2771 0.5543 0.3166
Pr10 0.6281 0.2562 0.5082
Pm1 0.8873 0.7747 0.2613
Pm2 0.1127 0.2253 0.7613
Pm3 0.1127 0.2253 0.2552
Pm4 0.8873 0.7747 0.7552
Th1 0.7898 0.5796 0.5082
Th2 0.2102 0.4204 0.0082
Er1 0.3976 0.7952 0.5082
Er2 0.6024 0.2048 0.0082



First-principles (GGA-PBE) data for YCu2Pt2 after structural relaxation, as listed in the Alexandria database.

Properties
The total energy comes out at -5.866 eV/atom. The offset from the most stable computed form comes out at 1.649 kcal/mol of atoms. As for the density of states at the Fermi level: 0.33 states/eV/atom. The formation energy comes out at -2.6 eV/f.u.

Cell: 7.2381 7.2381 3.1120 Å, 90.00 90.00 90.00°
Atoms (fractional coordinates):
Cu1 0.6198 0.1198 0.0000
Cu2 0.3802 0.8802 0.0000
Cu3 0.8802 0.6198 0.0000
Cu4 0.1198 0.3802 0.0000
Y1 0.5000 0.5000 0.0000
Y2 0.0000 0.0000 0.0000
Pt1 0.1748 0.6748 0.5000
Pt2 0.6748 0.8252 0.5000
Pt3 0.3252 0.1748 0.5000
Pt4 0.8252 0.3252 0.5000



First-principles (GGA-PBE) data for Tm8GeTe3P3 after structural relaxation, as listed in the Alexandria database.

Properties
Its uncorrected formation energy is -19.10 eV per formula unit. The total energy comes out at -5.676 eV/atom. As for the density of states at the Fermi level: 0.43 states/eV/atom.

Cell: 8.1076 8.1080 8.3237 Å, 119.15 90.00 120.00°
Atoms (fractional coordinates):
Te1 0.5000 0.5000 0.0000
Te2 0.0000 0.5000 0.0000
Te3 0.0000 0.0000 0.0000
Tm1 0.7360 0.4720 0.7079
Tm2 0.2640 0.5280 0.2921
Tm3 0.7568 0.5136 0.2823
Tm4 0.2432 0.9745 0.7177
Tm5 0.7568 0.0255 0.2823
Tm6 0.2432 0.4864 0.7177
Tm7 0.2686 0.0255 0.2823
Tm8 0.7314 0.9745 0.7177
P1 0.0000 0.5000 0.5000
P2 0.5000 0.0000 0.5000
P3 0.5000 0.5000 0.5000
Ge1 0.0000 0.0000 0.5000



First-principles (GGA-PBE) data for TeRuBr2 after structural relaxation, as listed in the Alexandria database.

Properties
Its uncorrected formation energy is 3.84 eV per formula unit. The total energy comes out at -2.980 eV/atom. As for the density of states at the Fermi level: 1.23 states/eV/atom.

Cell: 5.0692 5.0692 5.0692 Å, 60.00 60.00 60.00°
Atoms (fractional coordinates):
Br1 0.2500 0.2500 0.2500
Br2 0.7500 0.7500 0.7500
Ru1 0.0000 0.0000 0.0000
Te1 0.5000 0.5000 0.5000



First-principles (GGA-PBE) data for ScTlTeN2 after structural relaxation, as listed in the Alexandria database.

Properties
Its uncorrected formation energy is 2.61 eV per formula unit. The total energy comes out at -5.176 eV/atom. The offset from the most stable computed form comes out at 0.000 kcal/mol of atoms. As for the density of states at the Fermi level: 0.52 states/eV/atom.

Cell: 4.3725 4.3725 5.8881 Å, 90.00 90.00 90.00°
Atoms (fractional coordinates):
Te1 0.0000 0.0000 0.5000
N1 0.0000 0.5000 0.0000
N2 0.5000 0.0000 0.0000
Tl1 0.5000 0.5000 0.5000
Sc1 0.0000 0.0000 0.0000



First-principles (GGA-PBE) data for Tl3CoW after structural relaxation, as listed in the Alexandria database.

Properties
The total energy comes out at -3.940 eV/atom. The offset from the most stable computed form comes out at 0.000 kcal/mol of atoms. As for the density of states at the Fermi level: 1.12 states/eV/atom. The formation energy comes out at 7.5 eV/f.u.

Cell: 5.3999 5.3999 5.3999 Å, 90.00 90.00 90.00°
Atoms (fractional coordinates):
W1 0.0000 0.0000 0.0000
Tl1 0.0000 0.0000 0.5000
Tl2 0.5000 0.0000 0.0000
Tl3 0.0000 0.5000 0.0000
Co1 0.5000 0.5000 0.5000



First-principles (GGA-PBE) data for NaLaY after structural relaxation, as listed in the Alexandria database.

Properties
The total energy comes out at -4.116 eV/atom. The offset from the most stable computed form comes out at 1.352 kcal/mol of atoms. As for the density of states at the Fermi level: 1.54 states/eV/atom. The formation energy comes out at 0.4 eV/f.u.

Cell: 3.6254 3.6254 9.3543 Å, 90.00 90.00 120.00°
Atoms (fractional coordinates):
Na1 0.0000 0.0000 0.0054
Y1 0.6667 0.3333 0.3448
La1 0.3333 0.6667 0.6498



First-principles (GGA-PBE) data for ZnCu3Pt5 after structural relaxation, as listed in the Alexandria database.

Properties
The total energy comes out at -4.742 eV/atom. As for the density of states at the Fermi level: 0.69 states/eV/atom. The formation energy comes out at 1.1 eV/f.u.

Cell: 7.0832 7.0832 7.4316 Å, 118.46 118.46 90.00°
Atoms (fractional coordinates):
Cu1 0.6075 0.1075 0.0000
Cu2 0.3925 0.8925 0.0000
Cu3 0.2500 0.2500 0.5000
Cu4 0.1075 0.3925 0.0000
Cu5 0.7500 0.7500 0.5000
Cu6 0.8925 0.6075 0.0000
Pt1 0.5711 0.6619 0.7330
Pt2 0.6619 0.1619 0.7330
Pt3 0.1619 0.0711 0.7330
Pt4 0.4289 0.3381 0.2670
Pt5 0.5000 0.5000 0.0000
Pt6 0.0711 0.5711 0.7330
Pt7 0.0000 0.0000 0.0000
Pt8 0.9289 0.4289 0.2670
Pt9 0.8381 0.9289 0.2670
Pt10 0.3381 0.8381 0.2670
Zn1 0.2500 0.7500 0.5000
Zn2 0.7500 0.2500 0.5000



First-principles (GGA-PBE) data for LiTb2Ga9 after structural relaxation, as listed in the Alexandria database.

Properties
The total energy comes out at -3.613 eV/atom. As for the density of states at the Fermi level: 0.32 states/eV/atom. The formation energy comes out at -4.9 eV/f.u.

Cell: 4.2463 4.2463 12.4782 Å, 90.00 90.00 90.00°
Atoms (fractional coordinates):
Tb1 0.0000 0.0000 0.3229
Tb2 0.0000 0.0000 0.6771
Ga1 0.5000 0.0000 0.8532
Ga2 0.5000 0.5000 0.0000
Ga3 0.0000 0.5000 0.1468
Ga4 0.0000 0.5000 0.8532
Ga5 0.5000 0.0000 0.5000
Ga6 0.5000 0.0000 0.1468
Ga7 0.5000 0.5000 0.3383
Ga8 0.5000 0.5000 0.6617
Ga9 0.0000 0.5000 0.5000
Li1 0.0000 0.0000 0.0000



First-principles (GGA-PBE) data for Ca2Cd5Ag3 after structural relaxation, as listed in the Alexandria database.

Properties
The total energy comes out at -1.938 eV/atom. As for the density of states at the Fermi level: 0.47 states/eV/atom. The formation energy comes out at -2.2 eV/f.u.

Cell: 4.7037 7.4722 13.7602 Å, 90.00 99.84 90.00°
Atoms (fractional coordinates):
Cd1 0.8758 0.7631 0.7517
Cd2 0.0537 0.6001 0.1074
Cd3 0.9463 0.1001 0.8926
Cd4 0.3982 0.4248 0.7963
Cd5 0.2950 0.8879 0.5899
Cd6 0.6018 0.9248 0.2037
Cd7 0.7050 0.3879 0.4101
Cd8 0.1242 0.2631 0.2483
Cd9 0.2928 0.4903 0.5857
Cd10 0.7072 0.9903 0.4143
Ag1 0.2307 0.1864 0.4614
Ag2 0.9535 0.4928 0.9070
Ag3 0.6102 0.5349 0.2204
Ag4 0.0465 0.9928 0.0930
Ag5 0.7693 0.6864 0.5386
Ag6 0.3898 0.0349 0.7796
Ca1 0.1766 0.7055 0.3531
Ca2 0.4805 0.7791 0.9610
Ca3 0.5195 0.2791 0.0390
Ca4 0.8234 0.2055 0.6469



First-principles (GGA-PBE) data for CrOsPb2 after structural relaxation, as listed in the Alexandria database.

Properties
The total energy comes out at -6.203 eV/atom. The offset from the most stable computed form comes out at 10.681 kcal/mol of atoms. As for the density of states at the Fermi level: 0.75 states/eV/atom. The formation energy comes out at 3.5 eV/f.u.

Cell: 4.8100 4.8100 5.5172 Å, 80.10 80.10 40.93°
Atoms (fractional coordinates):
Os1 0.2500 0.2500 0.2500
Pb1 0.5074 0.5074 0.4894
Pb2 0.9926 0.9926 0.0106
Cr1 0.7500 0.7500 0.7500



First-principles (GGA-PBE) data for Be2CrCl after structural relaxation, as listed in the Alexandria database.

Properties
Its uncorrected formation energy is 2.43 eV per formula unit. The total energy comes out at -4.124 eV/atom. The offset from the most stable computed form comes out at 9.525 kcal/mol of atoms. As for the density of states at the Fermi level: 0.32 states/eV/atom.

Cell: 4.8628 4.8628 4.8628 Å, 144.95 127.21 64.95°
Atoms (fractional coordinates):
Be1 0.7524 0.2524 0.5000
Be2 0.9606 0.9606 0.0000
Cr1 0.2249 0.7249 0.5000
Cl1 0.5621 0.5621 0.0000